A plane-wave DFT calculation with PBE-GGA was carried out for LiNdPaN3 after structural relaxation.

ρ (g/cm³): 8.02
Space group: P2_1/m (11)
Calculated total energy (eV/atom): -8.122
Magnetization (Bohr magnetons per cell): 0.00

Cell: 3.505 7.386 6.927 Å, 101.66 90.00 90.00°
Fractional positions:
Li (0.250, 0.072, 0.586)
Li (0.750, 0.928, 0.414)
Nd (0.250, 0.187, 0.231)
Nd (0.750, 0.813, 0.769)
Pa (0.250, 0.667, 0.186)
Pa (0.750, 0.333, 0.814)
N (0.750, 0.858, 0.133)
N (0.250, 0.142, 0.867)
N (0.250, 0.804, 0.501)
N (0.750, 0.196, 0.499)
N (0.750, 0.441, 0.151)
N (0.250, 0.559, 0.849)